(1)
Ag3HgRu after structural relaxation, computed with PBE-GGA.

Lattice parameters (Å, degrees): 5.1191 5.1191 5.1191 90.00 90.00 90.00
With the nearest neighbours (Å) after each atom.
Positions (direct):
Ag (0.5000, 0.0000, 0.0000)  2 Ru 2.56
Ag (0.0000, 0.0000, 0.5000)  2 Ru 2.56
Ag (0.0000, 0.5000, 0.0000)  2 Ru 2.56
Ru (0.0000, 0.0000, 0.0000)  6 Ag 2.56
Hg (0.5000, 0.5000, 0.5000)  12 Ag 3.62

Calculated values
N(E_F): 3.77 states/eV/cell
Calculated volume: 26.83 Å³ per atom
Energy relative to the elements: 1.17 eV per atom


(2)
AgHg4Ru after structural relaxation, computed with PBE-GGA.

Lattice parameters (Å, degrees): 5.6707 5.6707 5.6707 60.00 60.00 60.00
With the nearest neighbours (Å) after each atom.
Positions (direct):
Hg (0.3752, 0.3752, 0.8743)  6 Hg 2.83-2.84
Hg (0.8743, 0.3752, 0.3752)  6 Hg 2.83-2.84
Hg (0.3752, 0.8743, 0.3752)  6 Hg 2.83-2.84
Hg (0.3752, 0.3752, 0.3752)  6 Hg 2.83-2.84
Ru (0.7500, 0.7500, 0.7500)  12 Hg 3.32, 4 Ag 3.47
Ag (0.0000, 0.0000, 0.0000)  12 Hg 3.33, 4 Ru 3.47

Calculated values
N(E_F): 5.57 states/eV/cell
Calculated volume: 21.49 Å³ per atom
Energy relative to the elements: 0.73 eV per atom


(3)
AgHgRu2 after structural relaxation, computed with PBE-GGA.

Lattice parameters (Å, degrees): 4.7723 4.7723 5.1498 81.42 81.42 34.94
With the nearest neighbours (Å) after each atom.
Positions (direct):
Ru (0.2564, 0.2564, 0.2114)  5 Ru 2.62-2.87, 2 Hg 2.84, 3 Ag 2.90-2.93
Ru (0.9939, 0.9939, 0.0443)  5 Ru 2.62-2.87, 2 Ag 2.79
Ag (0.5024, 0.5024, 0.5069)  3 Hg 2.68-2.83, 5 Ru 2.79-2.93, 2 Ag 2.87
Hg (0.7472, 0.7472, 0.7374)  3 Ag 2.68-2.83, 5 Ru 2.84-2.95, 2 Hg 2.87

Calculated values
N(E_F): 4.54 states/eV/cell
Calculated volume: 16.58 Å³ per atom
Energy relative to the elements: 0.51 eV per atom


(4)
AgHgRu2 after structural relaxation, computed with PBE-GGA.

Lattice parameters (Å, degrees): 5.6403 5.6403 5.6403 150.43 130.11 59.07
With the nearest neighbours (Å) after each atom.
Positions (direct):
Ag (0.7500, 0.2500, 0.5000)  4 Hg 2.78, 4 Ru 2.85, 2 Ag 2.88
Ru (0.4992, 0.4992, 0.0000)  6 Ru 2.78-2.88, 2 Hg 2.84, 2 Ag 2.85
Ru (0.0008, 0.0008, 0.0000)  6 Ru 2.78-2.88, 2 Hg 2.84, 2 Ag 2.85
Hg (0.2500, 0.7500, 0.5000)  4 Ag 2.78, 4 Ru 2.84, 2 Hg 2.88

Calculated values
N(E_F): 4.05 states/eV/cell
Calculated volume: 16.80 Å³ per atom
Energy relative to the elements: 0.65 eV per atom


(5)
AgHgRu2 after structural relaxation, computed with PBE-GGA.

Lattice parameters (Å, degrees): 5.6221 5.6221 5.6221 150.31 128.98 60.15
With the nearest neighbours (Å) after each atom.
Positions (direct):
Hg (0.2397, 0.7397, 0.5000)  6 Ru 2.83-2.91, 2 Hg 2.88, 2 Ag 2.99
Ag (0.5095, 0.5095, 0.0000)  6 Ru 2.83-2.92, 2 Ag 2.88, 2 Hg 2.99
Ru (0.7706, 0.2706, 0.5000)  2 Ru 2.50
Ru (0.9802, 0.9802, 0.0000)  2 Ru 2.50

Calculated values
N(E_F): 4.59 states/eV/cell
Calculated volume: 16.97 Å³ per atom
Energy relative to the elements: 0.60 eV per atom


(6)
AgHgRu2 after structural relaxation, computed with PBE-GGA.

Lattice parameters (Å, degrees): 2.8282 2.8282 8.4711 90.00 90.00 90.00
With the nearest neighbours (Å) after each atom.
Positions (direct):
Ag (0.5000, 0.5000, 0.2500)  4 Ag 2.83, 8 Ru 2.88
Ru (0.0000, 0.0000, 0.4947)  4 Ru 2.83, 4 Ag 2.88, 4 Hg 2.95
Ru (0.0000, 0.0000, 0.0053)  4 Ru 2.83, 4 Ag 2.88, 4 Hg 2.95
Hg (0.5000, 0.5000, 0.7500)  4 Hg 2.83, 8 Ru 2.95

Calculated values
N(E_F): 2.24 states/eV/cell
Calculated volume: 16.94 Å³ per atom
Energy relative to the elements: 0.71 eV per atom